# ZrHgAs2 | Alexandria | PBE | optimized geometry
# Energy of formation from the pure elements, eV per formula unit: -1.057
data_ZrHgAs2
_cell_length_a 4.658
_cell_length_b 4.658
_cell_length_c 3.648
_cell_angle_alpha 90.00
_cell_angle_beta 90.00
_cell_angle_gamma 90.00
_symmetry_space_group_name_H-M 'P 4/m m m'
_symmetry_Int_Tables_number 123
_symmetry_space_group_name_Hall '-P 4 2'
loop_
_atom_site_label
_atom_site_type_symbol
_atom_site_fract_x
_atom_site_fract_y
_atom_site_fract_z
Zr1 Zr 0.000 0.000 0.000
Hg1 Hg 0.500 0.500 0.000
As1 As 0.000 0.500 0.500

***

# In2SiPt4 | Alexandria | PBE | optimized geometry
# Formation energy without anion corrections, meV/atom: -35.5
data_In2SiPt4
_cell_length_a 4.555
_cell_length_b 4.555
_cell_length_c 13.740
_cell_angle_alpha 90.00
_cell_angle_beta 90.00
_cell_angle_gamma 90.00
_symmetry_space_group_name_H-M 'I 4/m m m'
_symmetry_Int_Tables_number 139
_symmetry_space_group_name_Hall '-I 4 2'
loop_
_atom_site_label
_atom_site_type_symbol
_atom_site_fract_x
_atom_site_fract_y
_atom_site_fract_z
In1 In 0.000 0.000 0.140
Si1 Si 0.000 0.000 0.500
Pt1 Pt 0.000 0.000 0.332
Pt2 Pt 0.000 0.500 0.000

***

# SrBeBr2 | Alexandria | PBE | optimized geometry
# Formation energy without anion corrections, meV/atom: -676.3
data_SrBeBr2
_cell_length_a 4.5631
_cell_length_b 4.5631
_cell_length_c 32.9597
_cell_angle_alpha 90.00
_cell_angle_beta 90.00
_cell_angle_gamma 120.00
_symmetry_space_group_name_H-M 'R -3 m'
_symmetry_Int_Tables_number 166
_symmetry_space_group_name_Hall '-R 3 2"'
loop_
_atom_site_label
_atom_site_type_symbol
_atom_site_fract_x
_atom_site_fract_y
_atom_site_fract_z
Sr1 Sr 0.0000 0.0000 0.0000
Be1 Be 0.0000 0.0000 0.5000
Br1 Br 0.0000 0.0000 0.3816

***

# ScTaBi2S | Alexandria | PBE | optimized geometry
# Formation energy without anion corrections, meV/atom: 600.1
data_ScTaBi2S
_cell_length_a 5.367
_cell_length_b 5.367
_cell_length_c 5.281
_cell_angle_alpha 90.00
_cell_angle_beta 90.00
_cell_angle_gamma 90.00
_symmetry_space_group_name_H-M 'P 4/m m m'
_symmetry_Int_Tables_number 123
_symmetry_space_group_name_Hall '-P 4 2'
loop_
_atom_site_label
_atom_site_type_symbol
_atom_site_fract_x
_atom_site_fract_y
_atom_site_fract_z
Sc1 Sc 0.000 0.000 0.000
Ta1 Ta 0.000 0.000 0.500
Bi1 Bi 0.000 0.500 0.500
S1 S 0.500 0.500 0.000

***

# Mg4TlIn6 | Alexandria | PBE | optimized geometry
# Energy of formation from the pure elements, eV per formula unit: 0.343
data_Mg4TlIn6
_cell_length_a 8.7962
_cell_length_b 8.7962
_cell_length_c 4.3908
_cell_angle_alpha 90.00
_cell_angle_beta 90.00
_cell_angle_gamma 120.00
_symmetry_space_group_name_H-M 'P -6 m 2'
_symmetry_Int_Tables_number 187
_symmetry_space_group_name_Hall 'P -6 2'
loop_
_atom_site_label
_atom_site_type_symbol
_atom_site_fract_x
_atom_site_fract_y
_atom_site_fract_z
Mg1 Mg 0.0000 0.0000 0.0000
Mg2 Mg 0.0717 0.5359 0.5000
Tl1 Tl 0.6667 0.3333 0.0000
In1 In 0.1923 0.3846 0.0000
In2 In 0.2853 0.1427 0.5000

***

# PuTh3Rh12 | Alexandria | PBE | optimized geometry
# Energy of formation from the pure elements, eV per formula unit: -10.225
data_PuTh3Rh12
_cell_length_a 4.108
_cell_length_b 4.108
_cell_length_c 16.441
_cell_angle_alpha 90.00
_cell_angle_beta 90.00
_cell_angle_gamma 90.00
_symmetry_space_group_name_H-M 'P 4/m m m'
_symmetry_Int_Tables_number 123
_symmetry_space_group_name_Hall '-P 4 2'
loop_
_atom_site_label
_atom_site_type_symbol
_atom_site_fract_x
_atom_site_fract_y
_atom_site_fract_z
Pu1 Pu 0.000 0.000 0.000
Th1 Th 0.000 0.000 0.248
Th2 Th 0.000 0.000 0.500
Rh1 Rh 0.000 0.500 0.118
Rh2 Rh 0.000 0.500 0.373
Rh3 Rh 0.500 0.500 0.000
Rh4 Rh 0.500 0.500 0.247
Rh5 Rh 0.500 0.500 0.500

***

# MgPIr2 | Alexandria | PBE | optimized geometry
# Energy of formation from the pure elements, eV per formula unit: -1.009
data_MgPIr2
_cell_length_a 2.938
_cell_length_b 4.038
_cell_length_c 10.041
_cell_angle_alpha 90.00
_cell_angle_beta 90.00
_cell_angle_gamma 90.00
_symmetry_space_group_name_H-M 'I m m 2'
_symmetry_Int_Tables_number 44
_symmetry_space_group_name_Hall 'I 2 -2'
loop_
_atom_site_label
_atom_site_type_symbol
_atom_site_fract_x
_atom_site_fract_y
_atom_site_fract_z
Mg1 Mg 0.000 0.000 0.000
P1 P 0.000 0.500 0.743
Ir1 Ir 0.000 0.000 0.421
Ir2 Ir 0.000 0.500 0.193

***

# AlZnCoRh2 | Alexandria | PBE | optimized geometry
# Energy of formation from the pure elements, eV per formula unit: 4.982
data_AlZnCoRh2
_cell_length_a 4.520
_cell_length_b 4.520
_cell_length_c 4.363
_cell_angle_alpha 90.00
_cell_angle_beta 90.00
_cell_angle_gamma 90.00
_symmetry_space_group_name_H-M 'P 4/m m m'
_symmetry_Int_Tables_number 123
_symmetry_space_group_name_Hall '-P 4 2'
loop_
_atom_site_label
_atom_site_type_symbol
_atom_site_fract_x
_atom_site_fract_y
_atom_site_fract_z
Al1 Al 0.000 0.000 0.000
Zn1 Zn 0.000 0.000 0.500
Co1 Co 0.500 0.500 0.000
Rh1 Rh 0.000 0.500 0.500